A relaxed structure of ErAu2Cl6, computed with GGA-PBE.

a b c (Å): 14.1541 12.4076 7.0223
angles (deg): 90.00 100.48 90.00
Closest atoms and distances in Å follow each position.
Space group C2/c (No. 15)
Symmetry-distinct sites (fractional):
Er 0.0000 0.0789 0.2500 x4  6 Cl 2.64
Au 0.1238 0.3959 0.1201 x8  2 Cl 2.30-2.36
Cl 0.0973 0.0741 0.6089 x8  2 Er 2.64
Cl 0.1251 0.4358 0.4814 x8  1 Au 2.30
Cl 0.1359 0.2078 0.1712 x8  1 Au 2.36, 1 Er 2.64

Output
**Raw total energy**: -126.56 eV per cell
**Uncorrected formation energy**: -1.0493 eV per atom


A relaxed structure of Pu2SiAg, computed with GGA-PBE.

a b c (Å): 2.9723 2.9723 33.0474
angles (deg): 90.00 90.00 120.00
Closest atoms and distances in Å follow each position.
Space group R-3m (No. 166, hexagonal axes)
Symmetry-distinct sites (fractional):
Pu 0.0000 0.0000 0.0929 x6  6 Pu 2.97, 3 Si 2.98, 1 Ag 3.07
Si 0.0000 0.0000 0.5000 x3  6 Si 2.97, 6 Pu 2.98
Ag 0.0000 0.0000 0.0000 x3  6 Ag 2.97, 2 Pu 3.07

Output
**Raw total energy**: -108.11 eV per cell
**Uncorrected formation energy**: 0.2257 eV per atom


A relaxed structure of La2TbN3, computed with GGA-PBE.

a b c (Å): 3.6566 3.6566 15.7890
angles (deg): 90.00 90.00 90.00
Closest atoms and distances in Å follow each position.
Space group I4/mmm (No. 139)
Symmetry-distinct sites (fractional):
La 0.0000 0.0000 0.1601 x4  5 N 2.53-2.59
Tb 0.0000 0.0000 0.5000 x2  6 N 2.42-2.59
N 0.0000 0.0000 0.0000 x2  2 La 2.53, 4 Tb 2.59
N 0.0000 0.0000 0.3465 x4  1 Tb 2.42, 4 La 2.59

Output
**Raw total energy**: -95.72 eV per cell
**Uncorrected formation energy**: -1.3998 eV per atom


Q: Number 3 is which compound?
A: La2TbN3